Record 1
Below is an optimized crystal structure of Tb3Ru, with properties calculated at the PBE level.

Values from the calculation:
calculated formation energy: -0.835 eV per formula unit
V: 104.2 Å³/cell
SG: Imm2, No. 44

a b c (Å): 6.320 6.320 6.320
angles (deg): 146.92 61.08 130.22
Sites, in units of the cell vectors:
Tb 0.000 0.000 0.000
Tb 0.303 0.500 0.803
Tb 0.697 0.500 0.197
Ru 0.496 0.996 0.500

---

Record 2
Below is an optimized crystal structure of Tb3Ru2, with properties calculated at the PBE level.

Values from the calculation:
energy relative to the lowest polymorph listed for this composition: 125 meV/atom
calculated formation energy: -0.564 eV per formula unit
V: 228.3 Å³/cell
SG: Cmcm, No. 63

a b c (Å): 4.843 4.843 11.256
angles (deg): 90.00 90.00 120.14
Sites, in units of the cell vectors:
Tb 0.001 0.999 0.750
Tb 0.333 0.667 0.583
Tb 0.333 0.667 0.917
Tb 0.667 0.333 0.083
Tb 0.667 0.333 0.417
Tb 0.999 0.001 0.250
Ru 0.000 0.000 0.000
Ru 0.000 0.000 0.500
Ru 0.332 0.668 0.250
Ru 0.668 0.332 0.750

---

Record 3
Below is an optimized crystal structure of Tb3Ru2, with properties calculated at the PBE level.

Values from the calculation:
energy relative to the lowest polymorph listed for this composition: 0 meV/atom
calculated formation energy: -1.190 eV per formula unit
V: 354.1 Å³/cell
SG: C2/m, No. 12

a b c (Å): 7.579 7.579 10.200
angles (deg): 90.32 90.32 37.19
Sites, in units of the cell vectors:
Tb 0.000 0.000 0.000
Tb 0.002 0.002 0.665
Tb 0.328 0.328 0.325
Tb 0.332 0.332 0.990
Tb 0.339 0.339 0.659
Tb 0.661 0.661 0.341
Tb 0.668 0.668 0.010
Tb 0.672 0.672 0.675
Tb 0.998 0.998 0.335
Ru 0.166 0.166 0.834
Ru 0.169 0.169 0.505
Ru 0.496 0.496 0.165
Ru 0.504 0.504 0.835
Ru 0.831 0.831 0.495
Ru 0.834 0.834 0.166

---

Record 4
Below is an optimized crystal structure of TbRu2, with properties calculated at the PBE level.

Values from the calculation:
calculated formation energy: -0.917 eV per formula unit
V: 216.1 Å³/cell
SG: P6_3/mmc, No. 194

a b c (Å): 5.262 5.262 9.012
angles (deg): 90.00 90.00 120.00
Sites, in units of the cell vectors:
Tb 0.333 0.667 0.067
Tb 0.333 0.667 0.433
Tb 0.667 0.333 0.567
Tb 0.667 0.333 0.933
Ru 0.000 0.000 0.000
Ru 0.000 0.000 0.500
Ru 0.170 0.340 0.750
Ru 0.170 0.830 0.750
Ru 0.340 0.170 0.250
Ru 0.660 0.830 0.750
Ru 0.830 0.170 0.250
Ru 0.830 0.660 0.250

---

Record 5
Below is an optimized crystal structure of Tb3Ru, with properties calculated at the PBE level.

Values from the calculation:
calculated formation energy: 0.268 eV per formula unit
V: 113.6 Å³/cell
SG: Pmm2, No. 25

a b c (Å): 3.391 3.630 9.225
angles (deg): 90.00 90.00 90.00
Sites, in units of the cell vectors:
Tb 0.000 0.000 0.000
Tb 0.000 0.500 0.343
Tb 0.500 0.500 0.711
Ru 0.500 0.000 0.496

---

Record 6
Below is an optimized crystal structure of Tb3Ru, with properties calculated at the PBE level.

Values from the calculation:
calculated formation energy: -0.987 eV per formula unit
V: 419.2 Å³/cell
SG: I-4, No. 82

a b c (Å): 8.810 8.810 8.810
angles (deg): 97.00 97.00 139.15
Sites, in units of the cell vectors:
Tb 0.108 0.250 0.858
Tb 0.108 0.415 0.500
Tb 0.249 0.750 0.906
Tb 0.250 0.156 0.500
Tb 0.392 0.250 0.142
Tb 0.392 0.892 0.308
Tb 0.585 0.084 0.692
Tb 0.656 0.751 0.500
Tb 0.750 0.608 0.858
Tb 0.750 0.892 0.142
Tb 0.844 0.344 0.094
Tb 0.916 0.608 0.500
Ru 0.250 0.039 0.788
Ru 0.250 0.461 0.212
Ru 0.539 0.750 0.789
Ru 0.961 0.750 0.211

---

Record 7
Below is an optimized crystal structure of TbTcRu, with properties calculated at the PBE level.

Values from the calculation:
energy relative to the lowest polymorph listed for this composition: 0 meV/atom
calculated formation energy: -0.689 eV per formula unit
V: 110.3 Å³/cell
SG: Imma, No. 74

a b c (Å): 5.396 5.396 5.396
angles (deg): 123.89 116.43 89.84
Sites, in units of the cell vectors:
Tb 0.372 0.122 0.250
Tb 0.628 0.878 0.750
Tc 0.000 0.000 0.500
Tc 0.000 0.500 0.000
Ru 0.000 0.500 0.500
Ru 0.500 0.500 0.000

---

Record 8
Below is an optimized crystal structure of Tb2TcRu3, with properties calculated at the PBE level.

Values from the calculation:
calculated formation energy: -1.626 eV per formula unit
V: 217.4 Å³/cell
SG: P6_3/mmc, No. 194

a b c (Å): 5.464 5.464 8.408
angles (deg): 90.00 90.00 120.00
Sites, in units of the cell vectors:
Tb 0.333 0.667 0.064
Tb 0.333 0.667 0.436
Tb 0.667 0.333 0.564
Tb 0.667 0.333 0.936
Tc 0.000 0.000 0.000
Tc 0.000 0.000 0.500
Ru 0.171 0.343 0.750
Ru 0.171 0.829 0.750
Ru 0.343 0.171 0.250
Ru 0.657 0.829 0.750
Ru 0.829 0.171 0.250
Ru 0.829 0.657 0.250